Ce2PmScSe4 | PBE | relaxed

Geometry as POSCAR:
```
Ce2PmScSe4
1.0
4.0963 0.0000 0.0000
0.0000 7.1440 0.1402
0.0000 -2.4811 6.7464
Ce Pm Sc Se
2 1 1 4
Cartesian
2.0481 -1.2406 3.3732 Ce
0.0000 2.3314 3.4433 Ce
2.0481 3.5720 0.0701 Pm
0.0000 0.0000 0.0000 Sc
2.0481 1.0817 1.5965 Se
2.0481 3.5811 5.2900 Se
0.0000 -0.1635 5.1590 Se
0.0000 4.8263 1.7275 Se
```

Values from the calculation:
Magnetic moment   2.04 μB per formula unit
ΔE_f (raw)   -1.749 eV per atom